# VGeMoO6

A geometry-optimized VGeMoO6 structure (GGA+U, Alexandria).

Cell: 4.626 4.626 9.039 Å, 90.00 90.00 90.00°
Sites, in units of the cell vectors:
1 V 0.500 0.500 0.174
2 V 0.000 0.000 0.674
3 Ge 0.500 0.500 0.834
4 Ge 0.000 0.000 0.334
5 Mo 0.500 0.500 0.499
6 Mo 0.000 0.000 0.999
7 O 0.189 0.811 0.497
8 O 0.811 0.189 0.497
9 O 0.311 0.311 0.997
10 O 0.689 0.689 0.997
11 O 0.197 0.803 0.176
12 O 0.803 0.197 0.176
13 O 0.303 0.303 0.676
14 O 0.697 0.697 0.676
15 O 0.793 0.207 0.824
16 O 0.207 0.793 0.824
17 O 0.707 0.707 0.324
18 O 0.293 0.293 0.324

Summary:
Magnetization ... 6.0 Bohr magnetons per cell
VASP energy ... -7.18 eV per atom